The following is a DFT calculation (PBE) of an optimized crystal structure of InSb2As.

Crystal system ... trigonal
Formation energy from raw total energies ... 0.031 eV per atom
Total energy ... -3.877 eV/atom
Energy relative to the lowest polymorph listed for this composition ... 0.9 meV per atom
Space group ... No. 160
Theoretical density ... 6.67 Mg/m³

a = 7.298 Å, b = 7.298 Å, c = 7.298 Å
α = 33.92°, β = 33.92°, γ = 33.92°
Fractional positions:
Sb 0.998 0.998 0.998
Sb 0.247 0.247 0.247
As 0.496 0.496 0.496
In 0.759 0.759 0.759

The following is a DFT calculation (PBE) of an optimized crystal structure of In2SbAs.

Crystal system ... orthorhombic
Formation energy from raw total energies ... 0.065 eV per atom
Total energy ... -3.497 eV/atom
Energy relative to the lowest polymorph listed for this composition ... 237.1 meV per atom
Space group ... No. 44
Theoretical density ... 6.48 Mg/m³

a = 6.701 Å, b = 6.701 Å, c = 6.701 Å
α = 146.47°, β = 138.57°, γ = 54.31°
Fractional positions:
Sb 0.450 0.450 0.000
As 0.279 0.779 0.500
In 0.041 0.041 0.000
In 0.731 0.231 0.500

The following is a DFT calculation (PBE) of an optimized crystal structure of InSbAs2.

Crystal system ... cubic
Formation energy from raw total energies ... 0.247 eV per atom
Total energy ... -3.793 eV/atom
Energy relative to the lowest polymorph listed for this composition ... 278.5 meV per atom
Space group ... No. 225
Theoretical density ... 7.04 Mg/m³

a = 5.052 Å, b = 5.052 Å, c = 5.052 Å
α = 60.00°, β = 60.00°, γ = 60.00°
Fractional positions:
Sb 0.500 0.500 0.500
As 0.250 0.250 0.250
As 0.750 0.750 0.750
In 0.000 0.000 0.000

The following is a DFT calculation (PBE) of an optimized crystal structure of InSb2As.

Crystal system ... tetragonal
Formation energy from raw total energies ... 0.248 eV per atom
Total energy ... -3.661 eV/atom
Energy relative to the lowest polymorph listed for this composition ... 217.3 meV per atom
Space group ... No. 119
Theoretical density ... 6.95 Mg/m³

a = 6.402 Å, b = 6.402 Å, c = 6.402 Å
α = 140.89°, β = 140.89°, γ = 56.50°
Fractional positions:
Sb 0.000 0.000 0.000
Sb 0.250 0.750 0.500
As 0.500 0.500 0.000
In 0.750 0.250 0.500

The following is a DFT calculation (PBE) of an optimized crystal structure of In2SbAs.

Crystal system ... monoclinic
Formation energy from raw total energies ... 0.169 eV per atom
Total energy ... -3.393 eV/atom
Energy relative to the lowest polymorph listed for this composition ... 340.7 meV per atom
Space group ... No. 12
Theoretical density ... 6.96 Mg/m³

a = 6.150 Å, b = 6.375 Å, c = 3.146 Å
α = 73.10°, β = 83.97°, γ = 116.35°
Fractional positions:
Sb 0.500 0.500 0.000
As 0.500 0.000 0.500
In 0.000 0.000 0.000
In 0.000 0.500 0.500

The following is a DFT calculation (PBE) of an optimized crystal structure of In2SbAs.

Crystal system ... tetragonal
Formation energy from raw total energies ... 0.094 eV per atom
Total energy ... -3.468 eV/atom
Energy relative to the lowest polymorph listed for this composition ... 265.7 meV per atom
Space group ... No. 99
Theoretical density ... 6.74 Mg/m³

a = 3.766 Å, b = 3.766 Å, c = 7.409 Å
α = 90.00°, β = 90.00°, γ = 90.01°
Fractional positions:
Sb 0.000 0.000 0.547
As 0.500 0.500 0.717
In 0.000 0.000 0.981
In 0.500 0.500 0.255

The following is a DFT calculation (PBE) of an optimized crystal structure of In2SbAs.

Crystal system ... orthorhombic
Formation energy from raw total energies ... 0.148 eV per atom
Total energy ... -3.414 eV/atom
Energy relative to the lowest polymorph listed for this composition ... 319.9 meV per atom
Space group ... No. 47
Theoretical density ... 6.98 Mg/m³

a = 3.987 Å, b = 4.934 Å, c = 5.160 Å
α = 90.00°, β = 90.00°, γ = 90.00°
Fractional positions:
Sb 0.500 0.000 0.500
As 0.000 0.500 0.500
In 0.000 0.000 0.000
In 0.500 0.500 0.000

The following is a DFT calculation (PBE) of an optimized crystal structure of InSbAs2.

Crystal system ... orthorhombic
Formation energy from raw total energies ... 0.251 eV per atom
Total energy ... -3.789 eV/atom
Energy relative to the lowest polymorph listed for this composition ... 282.8 meV per atom
Space group ... No. 65
Theoretical density ... 7.02 Mg/m³

a = 4.978 Å, b = 4.978 Å, c = 3.711 Å
α = 90.00°, β = 90.00°, γ = 96.09°
Fractional positions:
Sb 0.000 0.500 0.500
As 0.000 0.000 0.000
As 0.500 0.500 0.000
In 0.500 0.000 0.500

The following is a DFT calculation (PBE) of an optimized crystal structure of InSb3As.

Crystal system ... cubic
Formation energy from raw total energies ... 0.528 eV per atom
Total energy ... -3.423 eV/atom
Energy relative to the lowest polymorph listed for this composition ... 0.0 meV per atom
Space group ... No. 221
Theoretical density ... 5.73 Mg/m³

a = 5.438 Å, b = 5.438 Å, c = 5.438 Å
α = 90.00°, β = 90.00°, γ = 90.00°
Fractional positions:
Sb 0.000 0.500 0.000
Sb 0.000 0.000 0.500
Sb 0.500 0.000 0.000
As 0.000 0.000 0.000
In 0.500 0.500 0.500

The following is a DFT calculation (PBE) of an optimized crystal structure of InSbAs2.

Crystal system ... tetragonal
Formation energy from raw total energies ... 0.102 eV per atom
Total energy ... -3.938 eV/atom
Energy relative to the lowest polymorph listed for this composition ... 133.7 meV per atom
Space group ... No. 99
Theoretical density ... 6.18 Mg/m³

a = 4.020 Å, b = 4.020 Å, c = 6.422 Å
α = 90.00°, β = 90.00°, γ = 90.00°
Fractional positions:
Sb 0.500 0.500 0.692
As 0.000 0.000 0.140
As 0.500 0.500 0.105
In 0.000 0.000 0.563

The following is a DFT calculation (PBE) of an optimized crystal structure of InSbAs2.

Crystal system ... tetragonal
Formation energy from raw total energies ... 0.267 eV per atom
Total energy ... -3.773 eV/atom
Energy relative to the lowest polymorph listed for this composition ... 298.7 meV per atom
Space group ... No. 119
Theoretical density ... 6.74 Mg/m³

a = 6.322 Å, b = 6.322 Å, c = 6.322 Å
α = 141.97°, β = 141.97°, γ = 54.88°
Fractional positions:
Sb 0.750 0.250 0.500
As 0.000 0.000 0.000
As 0.250 0.750 0.500
In 0.500 0.500 0.000

The following is a DFT calculation (PBE) of an optimized crystal structure of InSb2As.

Crystal system ... monoclinic
Formation energy from raw total energies ... 0.223 eV per atom
Total energy ... -3.685 eV/atom
Energy relative to the lowest polymorph listed for this composition ... 192.8 meV per atom
Space group ... No. 12
Theoretical density ... 7.16 Mg/m³

a = 6.230 Å, b = 6.149 Å, c = 3.134 Å
α = 79.50°, β = 81.77°, γ = 118.04°
Fractional positions:
Sb 0.000 0.000 0.000
Sb 0.500 0.000 0.500
As 0.000 0.500 0.500
In 0.500 0.500 0.000

- Which of these has the highest total energy?
  number 5